Record 1
# PBE ScAgPd, optimized geometry
# Mass density = 6.741 g cm⁻³
# Formation enthalpy at 0 K = -0.25 eV/atom
# Space-group type = C2/m, No. 12
# Distance to the lowest polymorph of the same formula = 0.3424 eV per atom
data_ScAgPd
_chemical_formula_sum 'Sc2 Ag2 Pd2'
_cell_length_a 3.9521
_cell_length_b 3.9529
_cell_length_c 8.6329
_cell_angle_alpha 76.88
_cell_angle_beta 76.89
_cell_angle_gamma 90.05
_symmetry_space_group_name_H-M 'P 1'
_symmetry_Int_Tables_number 1
loop_
_symmetry_equiv_pos_as_xyz
'x,y,z'
loop_
_atom_site_label
_atom_site_type_symbol
_atom_site_fract_x
_atom_site_fract_y
_atom_site_fract_z
Sc1 Sc 0.2644 0.2046 0.3890
Sc2 Sc 0.5441 0.4842 0.8280
Ag1 Ag 0.4042 0.8444 0.1085
Ag2 Ag 0.9042 0.3444 0.1085
Pd1 Pd 0.1538 0.5949 0.6085
Pd2 Pd 0.6546 0.0940 0.6085

Record 2
# PBE Y2TaTe, optimized geometry
# Mass density = 7.811 g cm⁻³
# Space-group type = Amm2, No. 38
# Uncorrected formation energy = -91 kJ/mol of formula units
data_Y2TaTe
_chemical_formula_sum 'Y2 Ta1 Te1'
_cell_length_a 4.7846
_cell_length_b 3.8191
_cell_length_c 5.9730
_cell_angle_alpha 71.32
_cell_angle_beta 90.00
_cell_angle_gamma 90.00
_symmetry_space_group_name_H-M 'P 1'
_symmetry_Int_Tables_number 1
loop_
_symmetry_equiv_pos_as_xyz
'x,y,z'
loop_
_atom_site_label
_atom_site_type_symbol
_atom_site_fract_x
_atom_site_fract_y
_atom_site_fract_z
Ta1 Ta 0.0000 0.7033 0.4680
Te1 Te 0.5000 0.5512 0.7724
Y1 Y 0.0000 0.9757 0.9239
Y2 Y 0.5000 0.2698 0.3356

Record 3
# PBE TcMoRh2, optimized geometry
# Mass density = 11.406 g cm⁻³
# Formation enthalpy at 0 K = -0.13 eV/atom
# Space-group type = Cmmm, No. 65
# Distance to the lowest polymorph of the same formula = 0.0742 eV per atom
data_TcMoRh2
_chemical_formula_sum 'Tc1 Mo1 Rh2'
_cell_length_a 4.7830
_cell_length_b 4.7830
_cell_length_c 2.7211
_cell_angle_alpha 90.00
_cell_angle_beta 90.00
_cell_angle_gamma 110.79
_symmetry_space_group_name_H-M 'P 1'
_symmetry_Int_Tables_number 1
loop_
_symmetry_equiv_pos_as_xyz
'x,y,z'
loop_
_atom_site_label
_atom_site_type_symbol
_atom_site_fract_x
_atom_site_fract_y
_atom_site_fract_z
Mo1 Mo 0.0000 0.5000 0.5000
Rh1 Rh 0.0000 0.0000 0.0000
Rh2 Rh 0.5000 0.5000 0.0000
Tc1 Tc 0.5000 0.0000 0.5000